First-principles (PBE with a Hubbard U) data for CrSnO2 after structural relaxation, as listed in the Alexandria database.

a = 10.9948 Å, b = 3.0864 Å, c = 7.5886 Å
α = 90.00°, β = 99.88°, γ = 90.00°
Last column: nearest neighbours and their distance in Å.
Space group C2/m (No. 12)
Symmetry-distinct sites (fractional):
Cr (0.1259, 0.0000, 0.4358) (multiplicity 4)  5 O 2.01-2.11
Sn (0.1241, 0.5000, 0.8591) (multiplicity 4)  2 O 2.10-2.15
O (0.0587, 0.5000, 0.2792) (multiplicity 4)  2 Cr 2.01, 1 Sn 2.10
O (0.1898, 0.5000, 0.6083) (multiplicity 4)  3 Cr 2.07-2.11, 1 Sn 2.15

Results
ρ = 5.307 Mg/m³
E = -107.7 eV/cell
Energy above the most stable polymorph in this dataset = 139 meV per atom